No. 1
Tb2Pr2Nd4Sm after structural relaxation, computed with PBE.

Computed properties:
- Energy of formation from the pure elements: 0.01 eV/atom

```
data_Tb2Pr2Nd4Sm
_symmetry_space_group_name_H-M 'C 1 2/m 1'
_symmetry_Int_Tables_number 12
_symmetry_space_group_name_Hall '-C 2y'
_cell_length_a 19.1303
_cell_length_b 3.6914
_cell_length_c 9.8073
_cell_angle_alpha 90.00
_cell_angle_beta 115.69
_cell_angle_gamma 90.00
loop_
_atom_site_label
_atom_site_fract_x
_atom_site_fract_y
_atom_site_fract_z
_atom_site_occupancy
Tb1 0.1479 0.0000 0.1666 1
Pr1 0.1662 0.5000 0.4983 1
Nd1 0.0184 0.5000 0.8348 1
Nd2 0.1859 0.0000 0.8334 1
Sm1 0.0000 0.0000 0.5000 1
```

***

No. 2
Tb2PrNd6Sm after structural relaxation, computed with PBE.

Computed properties:
- Energy of formation from the pure elements: 0.11 eV/atom

```
data_Tb2PrNd6Sm
_symmetry_space_group_name_H-M 'C 1 2/c 1'
_symmetry_Int_Tables_number 15
_symmetry_space_group_name_Hall '-C 2yc'
_cell_length_a 9.3135
_cell_length_b 15.3916
_cell_length_c 9.8329
_cell_angle_alpha 90.00
_cell_angle_beta 98.08
_cell_angle_gamma 90.00
loop_
_atom_site_label
_atom_site_fract_x
_atom_site_fract_y
_atom_site_fract_z
_atom_site_occupancy
Tb1 0.2443 0.0485 0.0458 1
Pr1 0.0000 0.4063 0.2500 1
Nd1 0.0656 0.1780 0.4444 1
Nd2 0.0979 0.3929 0.6202 1
Nd3 0.2074 0.2252 0.8167 1
Sm1 0.0000 0.0280 0.7500 1
```

***

No. 3
Tb6Pr2Nd3Sm after structural relaxation, computed with PBE.

Computed properties:
- Energy of formation from the pure elements: 0.01 eV/atom

```
data_Tb6Pr2Nd3Sm
_symmetry_space_group_name_H-M 'C 1 2/m 1'
_symmetry_Int_Tables_number 12
_symmetry_space_group_name_Hall '-C 2y'
_cell_length_a 6.2884
_cell_length_b 10.8915
_cell_length_c 11.9255
_cell_angle_alpha 90.00
_cell_angle_beta 100.10
_cell_angle_gamma 90.00
loop_
_atom_site_label
_atom_site_fract_x
_atom_site_fract_y
_atom_site_fract_z
_atom_site_occupancy
Tb1 0.2495 0.0000 0.2497 1
Tb2 0.2498 0.1665 0.7501 1
Pr1 0.0000 0.3335 0.5000 1
Nd1 0.0000 0.1668 0.0000 1
Nd2 0.0000 0.5000 0.0000 1
Sm1 0.0000 0.0000 0.5000 1
```

***

No. 4
Tb3Pr2NdSm6 after structural relaxation, computed with PBE.

Computed properties:
- Energy of formation from the pure elements: 0.02 eV/atom

```
data_Tb3Pr2NdSm6
_symmetry_space_group_name_H-M 'C 1 2/m 1'
_symmetry_Int_Tables_number 12
_symmetry_space_group_name_Hall '-C 2y'
_cell_length_a 6.2916
_cell_length_b 10.8972
_cell_length_c 12.0404
_cell_angle_alpha 90.00
_cell_angle_beta 100.05
_cell_angle_gamma 90.00
loop_
_atom_site_label
_atom_site_fract_x
_atom_site_fract_y
_atom_site_fract_z
_atom_site_occupancy
Tb1 0.0000 0.0000 0.0000 1
Tb2 0.0000 0.3333 0.0000 1
Pr1 0.0000 0.1666 0.5000 1
Nd1 0.0000 0.5000 0.5000 1
Sm1 0.2483 0.5000 0.2460 1
Sm2 0.2487 0.1665 0.2461 1
```

***

No. 5
Tb2PrNd2Sm2 after structural relaxation, computed with PBE.

Computed properties:
- Energy of formation from the pure elements: 0.01 eV/atom

```
data_Tb2PrNd2Sm2
_symmetry_space_group_name_H-M 'C 1 2/m 1'
_symmetry_Int_Tables_number 12
_symmetry_space_group_name_Hall '-C 2y'
_cell_length_a 11.4918
_cell_length_b 5.1386
_cell_length_c 8.1460
_cell_angle_alpha 90.00
_cell_angle_beta 98.05
_cell_angle_gamma 90.00
loop_
_atom_site_label
_atom_site_fract_x
_atom_site_fract_y
_atom_site_fract_z
_atom_site_occupancy
Tb1 0.0718 0.0000 0.2136 1
Pr1 0.0000 0.5000 0.5000 1
Nd1 0.1425 0.5000 0.9290 1
Sm1 0.2146 0.0000 0.6426 1
```

***

No. 6
Tb2PrNd2Sm after structural relaxation, computed with PBE.

Computed properties:
- Energy of formation from the pure elements: 0.25 eV/atom

```
data_Tb2PrNd2Sm
_symmetry_space_group_name_H-M 'P n n m'
_symmetry_Int_Tables_number 58
_symmetry_space_group_name_Hall '-P 2 2n'
_cell_length_a 6.6677
_cell_length_b 18.2607
_cell_length_c 3.4370
_cell_angle_alpha 90.00
_cell_angle_beta 90.00
_cell_angle_gamma 90.00
loop_
_atom_site_label
_atom_site_fract_x
_atom_site_fract_y
_atom_site_fract_z
_atom_site_occupancy
Tb1 0.2187 0.1477 0.0000 1
Pr1 0.0000 0.5000 0.5000 1
Nd1 0.2217 0.3134 0.5000 1
Sm1 0.0000 0.0000 0.5000 1
```

***

No. 7
Tb4PrNd2Sm after structural relaxation, computed with PBE.

Computed properties:
- Energy of formation from the pure elements: 0.01 eV/atom

```
data_Tb4PrNd2Sm
_symmetry_space_group_name_H-M 'P 1 2/m 1'
_symmetry_Int_Tables_number 10
_symmetry_space_group_name_Hall '-P 2y'
_cell_length_a 6.2668
_cell_length_b 3.6303
_cell_length_c 11.9494
_cell_angle_alpha 90.00
_cell_angle_beta 100.29
_cell_angle_gamma 90.00
loop_
_atom_site_label
_atom_site_fract_x
_atom_site_fract_y
_atom_site_fract_z
_atom_site_occupancy
Tb1 0.2492 0.0000 0.2489 1
Tb2 0.2508 0.5000 0.7511 1
Pr1 0.0000 0.0000 0.5000 1
Nd1 0.5000 0.0000 0.0000 1
Nd2 0.5000 0.5000 0.5000 1
Sm1 0.0000 0.5000 0.0000 1
```

***

No. 8
TbPr6Nd3Sm2 after structural relaxation, computed with PBE.

Computed properties:
- Energy of formation from the pure elements: 0.01 eV/atom

```
data_TbPr6Nd3Sm2
_symmetry_space_group_name_H-M 'C 1 2/m 1'
_symmetry_Int_Tables_number 12
_symmetry_space_group_name_Hall '-C 2y'
_cell_length_a 6.3841
_cell_length_b 11.0620
_cell_length_c 12.1643
_cell_angle_alpha 90.00
_cell_angle_beta 100.12
_cell_angle_gamma 90.00
loop_
_atom_site_label
_atom_site_fract_x
_atom_site_fract_y
_atom_site_fract_z
_atom_site_occupancy
Tb1 0.0000 0.0000 0.0000 1
Pr1 0.2491 0.1664 0.2477 1
Pr2 0.2501 0.0000 0.7521 1
Nd1 0.0000 0.1666 0.5000 1
Nd2 0.0000 0.5000 0.5000 1
Sm1 0.0000 0.3333 0.0000 1
```

***

no.,D(E_F) (states/eV/f.u.),calculated volume (Å³ per atom)
1,11.957,34.7
2,14.886,34.9
3,14.318,33.5
4,17.065,33.9
5,10.098,34.0
6,10.703,34.9
7,10.949,33.4
8,18.090,35.2